! PBE Nd2ErAu, relaxed; values from VASP
! Total DFT energy (no corrections) = -4.573 eV per atom
! Space group = No. 160
! DOS at the Fermi energy = 15.9 states/eV/cell
! Excess energy over the best structure of this formula in the dataset = 109 meV/atom
! Energy of formation from the pure elements = -0.229 eV per atom
&SYSTEM
  ibrav = 0, nat = 12, ntyp = 3
/
ATOMIC_SPECIES
Nd 144.24 Nd.upf
Er 167.26 Er.upf
Au 196.97 Au.upf
ATOMIC_POSITIONS crystal
Nd 0.0000 0.0000 0.0000
Nd 0.0000 0.0000 0.1879
Nd 0.3333 0.6667 0.6667
Nd 0.3333 0.6667 0.8546
Nd 0.6667 0.3333 0.3333
Nd 0.6667 0.3333 0.5212
Er 0.0000 0.0000 0.4266
Er 0.3333 0.6667 0.0933
Er 0.6667 0.3333 0.7600
Au 0.0000 0.0000 0.5943
Au 0.3333 0.6667 0.2609
Au 0.6667 0.3333 0.9276
CELL_PARAMETERS angstrom
3.7540 0.0000 0.0000
-1.8770 3.2511 0.0000
0.0000 0.0000 30.4706